Entry 1:
A plane-wave DFT calculation with GGA-PBEsol was carried out for a relaxed FeOs crystal.

Cell lengths 4.518, 4.104, 5.174 Å; angles 90.00, 90.00, 90.00 degrees
Fractional coordinates of all 8 atoms:
Fe 0.081 0.250 0.123
Fe 0.419 0.750 0.623
Fe 0.581 0.250 0.377
Fe 0.919 0.750 0.877
Os 0.088 0.250 0.627
Os 0.412 0.750 0.127
Os 0.588 0.250 0.873
Os 0.912 0.750 0.373

ΔH_f (0 K) ... -2 kJ/mol of formula units
Crystal system ... orthorhombic

---

Entry 2:
A plane-wave DFT calculation with GGA-PBEsol was carried out for a relaxed MnCr2HgBr crystal.

Cell lengths 5.104, 5.104, 4.993 Å; angles 90.00, 90.00, 90.00 degrees
Fractional coordinates of all 5 atoms:
Mn 0.000 0.000 0.000
Cr 0.000 0.500 0.500
Cr 0.500 0.000 0.500
Hg 0.000 0.000 0.500
Br 0.500 0.500 0.000

Energy relative to the elements, uncorrected ... 1.33 eV per atom
Crystal system ... tetragonal

---

Entry 3:
A plane-wave DFT calculation with GGA-PBEsol was carried out for a relaxed LaZnCr crystal.

Cell lengths 5.999, 5.999, 5.999 Å; angles 147.61, 147.61, 46.46 degrees
Fractional coordinates of all 3 atoms:
La 0.000 0.000 0.000
Zn 0.703 0.703 0.000
Cr 0.305 0.305 0.000

ΔH_f (0 K) ... 89 kJ/mol of formula units
Crystal system ... tetragonal

---

Entry 4:
A plane-wave DFT calculation with GGA-PBEsol was carried out for a relaxed KCd3 crystal.

Cell lengths 3.621, 3.621, 8.313 Å; angles 90.00, 90.00, 90.00 degrees
Fractional coordinates of all 4 atoms:
K 0.000 0.000 0.000
Cd 0.000 0.000 0.500
Cd 0.500 0.500 0.304
Cd 0.500 0.500 0.696

ΔH_f (0 K) ... 16 kJ/mol of formula units
Crystal system ... tetragonal

---

Entry 5:
A plane-wave DFT calculation with GGA-PBEsol was carried out for a relaxed InAu crystal.

Cell lengths 5.424, 5.424, 7.682 Å; angles 117.80, 117.80, 38.20 degrees
Fractional coordinates of all 6 atoms:
In 0.000 0.000 0.000
In 0.602 0.602 0.719
In 0.758 0.758 0.369
Au 0.028 0.028 0.376
Au 0.295 0.295 0.074
Au 0.320 0.320 0.697

ΔH_f (0 K) ... -35 kJ/mol of formula units
Crystal system ... monoclinic

---

Entry 6:
A plane-wave DFT calculation with GGA-PBEsol was carried out for a relaxed LiZnRh crystal.

Cell lengths 4.550, 4.550, 4.550 Å; angles 140.05, 140.05, 57.77 degrees
Fractional coordinates of all 3 atoms:
Li 0.000 0.000 0.000
Zn 0.673 0.673 0.000
Rh 0.334 0.334 0.000

ΔH_f (0 K) ... -69 kJ/mol of formula units
Crystal system ... tetragonal
Energy above the most stable polymorph in this dataset ... 0 meV per atom

---

Entry 7:
A plane-wave DFT calculation with GGA-PBEsol was carried out for a relaxed KCrIr2 crystal.

Cell lengths 2.779, 4.756, 4.948 Å; angles 90.00, 90.00, 90.00 degrees
Fractional coordinates of all 4 atoms:
K 0.000 0.000 0.000
Cr 0.500 0.500 0.000
Ir 0.000 0.500 0.500
Ir 0.500 0.000 0.500

ΔH_f (0 K) ... 421 kJ/mol of formula units
Crystal system ... orthorhombic
Energy above the most stable polymorph in this dataset ... 434 meV per atom

---

Entry 8:
A plane-wave DFT calculation with GGA-PBEsol was carried out for a relaxed KSb2 crystal.

Cell lengths 7.313, 7.313, 7.021 Å; angles 93.26, 93.26, 33.68 degrees
Fractional coordinates of all 6 atoms:
K 0.132 0.132 0.127
K 0.868 0.868 0.873
Sb 0.190 0.190 0.626
Sb 0.447 0.447 0.318
Sb 0.553 0.553 0.682
Sb 0.810 0.810 0.374

Energy relative to the elements, uncorrected ... -0.28 eV per atom
Crystal system ... monoclinic

---

Entry 9:
A plane-wave DFT calculation with GGA-PBEsol was carried out for a relaxed BaCr2Ni crystal.

Cell lengths 4.749, 4.749, 4.749 Å; angles 60.00, 60.00, 60.00 degrees
Fractional coordinates of all 4 atoms:
Ba 0.000 0.000 0.000
Cr 0.500 0.500 0.500
Cr 0.750 0.750 0.750
Ni 0.250 0.250 0.250

ΔH_f (0 K) ... 402 kJ/mol of formula units
Crystal system ... cubic
Energy above the most stable polymorph in this dataset ... 0 meV per atom

---

Entry 10:
A plane-wave DFT calculation with GGA-PBEsol was carried out for a relaxed RbAl3Pb crystal.

Cell lengths 5.589, 5.589, 5.589 Å; angles 90.00, 90.00, 90.00 degrees
Fractional coordinates of all 5 atoms:
Rb 0.000 0.000 0.000
Al 0.000 0.000 0.500
Al 0.000 0.500 0.000
Al 0.500 0.000 0.000
Pb 0.500 0.500 0.500

ΔH_f (0 K) ... 750 kJ/mol of formula units
Crystal system ... cubic

---

Entry 11:
A plane-wave DFT calculation with GGA-PBEsol was carried out for a relaxed Sr2YTl crystal.

Cell lengths 11.694, 11.694, 11.694 Å; angles 19.21, 19.21, 19.21 degrees
Fractional coordinates of all 4 atoms:
Sr 0.000 0.000 0.000
Sr 0.230 0.230 0.230
Y 0.759 0.759 0.759
Tl 0.490 0.490 0.490

ΔH_f (0 K) ... -26 kJ/mol of formula units
Crystal system ... trigonal
Energy above the most stable polymorph in this dataset ... 94 meV per atom

---

Entry 12:
A plane-wave DFT calculation with GGA-PBEsol was carried out for a relaxed LiCa2Cd crystal.

Cell lengths 10.521, 10.521, 10.521 Å; angles 20.64, 20.64, 20.64 degrees
Fractional coordinates of all 4 atoms:
Li 0.000 0.000 0.000
Ca 0.243 0.243 0.243
Ca 0.757 0.757 0.757
Cd 0.500 0.500 0.500

ΔH_f (0 K) ... -9 kJ/mol of formula units
Crystal system ... trigonal
Energy above the most stable polymorph in this dataset ... 174 meV per atom

---

Entry 13:
A plane-wave DFT calculation with GGA-PBEsol was carried out for a relaxed Fe2TcRu crystal.

Cell lengths 2.772, 2.772, 6.401 Å; angles 90.00, 90.00, 90.00 degrees
Fractional coordinates of all 4 atoms:
Fe 0.000 0.000 0.000
Fe 0.500 0.500 0.212
Tc 0.500 0.500 0.750
Ru 0.000 0.000 0.464

ΔH_f (0 K) ... 49 kJ/mol of formula units
Crystal system ... tetragonal
Energy above the most stable polymorph in this dataset ... 11 meV per atom

---

Entry 14:
A plane-wave DFT calculation with GGA-PBEsol was carried out for a relaxed Ga2Ir2Au crystal.

Cell lengths 7.197, 7.197, 2.906 Å; angles 90.00, 90.00, 90.00 degrees
Fractional coordinates of all 10 atoms:
Ga 0.156 0.344 0.000
Ga 0.344 0.844 0.000
Ga 0.656 0.156 0.000
Ga 0.844 0.656 0.000
Ir 0.142 0.642 0.500
Ir 0.358 0.142 0.500
Ir 0.642 0.858 0.500
Ir 0.858 0.358 0.500
Au 0.000 0.000 0.500
Au 0.500 0.500 0.500

ΔH_f (0 K) ... -123 kJ/mol of formula units
Crystal system ... tetragonal

---

Entry 15:
A plane-wave DFT calculation with GGA-PBEsol was carried out for a relaxed Li5SbS crystal.

Cell lengths 8.578, 8.578, 6.120 Å; angles 90.44, 90.44, 147.52 degrees
Fractional coordinates of all 14 atoms:
Li 0.139 0.861 0.750
Li 0.243 0.316 0.912
Li 0.303 0.684 0.506
Li 0.316 0.243 0.412
Li 0.316 0.697 0.994
Li 0.684 0.303 0.006
Li 0.684 0.757 0.588
Li 0.697 0.316 0.494
Li 0.757 0.684 0.088
Li 0.861 0.139 0.250
Sb 0.167 0.833 0.250
Sb 0.833 0.167 0.750
S 0.425 0.575 0.250
S 0.575 0.425 0.750

Energy relative to the elements, uncorrected ... -0.89 eV per atom
Crystal system ... monoclinic
Energy above the most stable polymorph in this dataset ... 17 meV per atom

---

Entry 16:
A plane-wave DFT calculation with GGA-PBEsol was carried out for a relaxed MnCl2 crystal.

Cell lengths 5.760, 6.086, 3.684 Å; angles 90.00, 90.00, 90.00 degrees
Fractional coordinates of all 6 atoms:
Mn 0.000 0.000 0.000
Mn 0.500 0.500 0.500
Cl 0.230 0.165 0.500
Cl 0.270 0.665 0.000
Cl 0.730 0.335 0.000
Cl 0.770 0.835 0.500

Energy relative to the elements, uncorrected ... -0.93 eV per atom
Crystal system ... orthorhombic

---

Entry 17:
A plane-wave DFT calculation with GGA-PBEsol was carried out for a relaxed YRuS3 crystal.

Cell lengths 5.075, 5.075, 5.075 Å; angles 90.00, 90.00, 90.00 degrees
Fractional coordinates of all 5 atoms:
Y 0.000 0.000 0.000
Ru 0.500 0.500 0.500
S 0.000 0.000 0.500
S 0.000 0.500 0.000
S 0.500 0.000 0.000

Energy relative to the elements, uncorrected ... 0.54 eV per atom
Crystal system ... cubic

---

Entry 18:
A plane-wave DFT calculation with GGA-PBEsol was carried out for a relaxed KP15 crystal.

Cell lengths 7.065, 9.070, 11.792 Å; angles 90.49, 100.55, 107.48 degrees
Fractional coordinates of all 32 atoms:
K 0.216 0.211 0.002
K 0.784 0.789 0.998
P 0.009 0.347 0.420
P 0.024 0.426 0.813
P 0.027 0.893 0.642
P 0.104 0.772 0.316
P 0.116 0.899 0.828
P 0.215 0.580 0.710
P 0.247 0.496 0.189
P 0.281 0.884 0.187
P 0.306 0.461 0.377
P 0.316 0.981 0.579
P 0.333 0.695 0.445
P 0.347 0.789 0.832
P 0.385 0.230 0.623
P 0.463 0.096 0.293
P 0.482 0.734 0.189
P 0.518 0.266 0.811
P 0.537 0.904 0.707
P 0.615 0.770 0.377
P 0.653 0.211 0.168
P 0.667 0.305 0.555
P 0.684 0.019 0.421
P 0.694 0.539 0.623
P 0.719 0.116 0.813
P 0.753 0.504 0.811
P 0.785 0.420 0.290
P 0.884 0.101 0.172
P 0.896 0.228 0.684
P 0.973 0.107 0.358
P 0.976 0.574 0.187
P 0.991 0.653 0.580

ΔH_f (0 K) ... -111 kJ/mol of formula units
Crystal system ... triclinic

---

Entry 19:
A plane-wave DFT calculation with GGA-PBEsol was carried out for a relaxed LaTaMo2 crystal.

Cell lengths 2.921, 2.921, 9.413 Å; angles 90.00, 90.00, 112.98 degrees
Fractional coordinates of all 4 atoms:
La 0.000 0.000 0.000
Ta 0.000 0.000 0.500
Mo 0.500 0.500 0.276
Mo 0.500 0.500 0.724

ΔH_f (0 K) ... 132 kJ/mol of formula units
Crystal system ... orthorhombic
Energy above the most stable polymorph in this dataset ... 0 meV per atom

---

Entry 20:
A plane-wave DFT calculation with GGA-PBEsol was carried out for a relaxed Fe2OsRh crystal.

Cell lengths 4.495, 4.495, 4.427 Å; angles 100.25, 100.25, 33.85 degrees
Fractional coordinates of all 4 atoms:
Fe 0.000 0.000 0.000
Fe 0.744 0.744 0.245
Os 0.250 0.250 0.763
Rh 0.496 0.496 0.494

ΔH_f (0 K) ... 36 kJ/mol of formula units
Crystal system ... monoclinic
Energy above the most stable polymorph in this dataset ... 0 meV per atom

---

Entry 21:
A plane-wave DFT calculation with GGA-PBEsol was carried out for a relaxed CsSn2Te2 crystal.

Cell lengths 8.567, 8.567, 8.567 Å; angles 147.98, 147.98, 45.92 degrees
Fractional coordinates of all 5 atoms:
Cs 0.000 0.000 0.000
Sn 0.250 0.750 0.500
Sn 0.750 0.250 0.500
Te 0.398 0.398 0.000
Te 0.602 0.602 0.000

Energy relative to the elements, uncorrected ... -0.28 eV per atom
Crystal system ... tetragonal
Energy above the most stable polymorph in this dataset ... 158 meV per atom

---

Entry 22:
A plane-wave DFT calculation with GGA-PBEsol was carried out for a relaxed MgCuTc2 crystal.

Cell lengths 2.753, 3.733, 5.585 Å; angles 90.00, 90.00, 90.00 degrees
Fractional coordinates of all 4 atoms:
Mg 0.000 0.000 0.000
Cu 0.500 0.500 0.771
Tc 0.000 0.000 0.500
Tc 0.500 0.500 0.302

ΔH_f (0 K) ... 81 kJ/mol of formula units
Crystal system ... orthorhombic

---

Entry 23:
A plane-wave DFT calculation with GGA-PBEsol was carried out for a relaxed Li2LaCu crystal.

Cell lengths 4.966, 4.966, 4.966 Å; angles 126.64, 119.29, 85.07 degrees
Fractional coordinates of all 4 atoms:
Li 0.000 0.000 0.000
Li 0.763 0.263 0.500
La 0.482 0.482 0.000
Cu 0.211 0.711 0.500

ΔH_f (0 K) ... 44 kJ/mol of formula units
Crystal system ... orthorhombic
Energy above the most stable polymorph in this dataset ... 78 meV per atom

---

Entry 24:
A plane-wave DFT calculation with GGA-PBEsol was carried out for a relaxed CsTl2PtBr crystal.

Cell lengths 5.964, 5.964, 5.046 Å; angles 90.00, 90.00, 90.00 degrees
Fractional coordinates of all 5 atoms:
Cs 0.000 0.000 0.000
Tl 0.000 0.500 0.500
Tl 0.500 0.000 0.500
Pt 0.500 0.500 0.000
Br 0.500 0.500 0.500

Energy relative to the elements, uncorrected ... 0.25 eV per atom
Crystal system ... tetragonal

---

Entry 25:
A plane-wave DFT calculation with GGA-PBEsol was carried out for a relaxed HgOs2Cl crystal.

Cell lengths 5.015, 5.015, 2.736 Å; angles 90.00, 90.00, 110.86 degrees
Fractional coordinates of all 4 atoms:
Hg 0.000 0.000 0.000
Os 0.000 0.500 0.500
Os 0.500 0.000 0.500
Cl 0.500 0.500 0.000

Energy relative to the elements, uncorrected ... 1.55 eV per atom
Crystal system ... orthorhombic
Energy above the most stable polymorph in this dataset ... 872 meV per atom

---

Entry 26:
A plane-wave DFT calculation with GGA-PBEsol was carried out for a relaxed AlPt2Rh crystal.

Cell lengths 4.754, 4.754, 4.652 Å; angles 103.81, 103.81, 33.98 degrees
Fractional coordinates of all 4 atoms:
Al 0.000 0.000 0.000
Pt 0.505 0.505 0.507
Pt 0.739 0.739 0.238
Rh 0.267 0.267 0.753

ΔH_f (0 K) ... -211 kJ/mol of formula units
Crystal system ... monoclinic

---

Entry 27:
A plane-wave DFT calculation with GGA-PBEsol was carried out for a relaxed InPBr3 crystal.

Cell lengths 5.155, 5.155, 5.155 Å; angles 90.00, 90.00, 90.00 degrees
Fractional coordinates of all 5 atoms:
In 0.000 0.000 0.000
P 0.500 0.500 0.500
Br 0.000 0.500 0.500
Br 0.500 0.000 0.500
Br 0.500 0.500 0.000

Energy relative to the elements, uncorrected ... -0.22 eV per atom
Crystal system ... cubic